[1]
A plane-wave DFT calculation with PBE-GGA was carried out for a relaxed structure of LiU2PaP4.

Summary:
Its space group is P2/m (10). The value obtained for the total magnetization is 0.571 μB per atom. The calculated formation energy comes out at -85.4 kJ/mol of atoms. The volume comes out at 21.5 Å³ per atom.

a = 3.951 Å, b = 6.684 Å, c = 6.903 Å
α = 109.52°, β = 90.00°, γ = 90.00°
Positions (direct):
Li  0.500  0.500  0.000
U  0.500  0.000  0.500
U  0.000  0.500  0.500
Pa  0.000  0.000  0.000
P  0.500  0.253  0.249
P  0.500  0.747  0.751
P  0.000  0.246  0.746
P  0.000  0.754  0.254

=====

[2]
A plane-wave DFT calculation with PBE-GGA was carried out for a relaxed structure of LiUPa2P4.

Summary:
Its space group is P2/m (10). The value obtained for the total magnetization is 0.334 μB per atom. The calculated formation energy comes out at -94.3 kJ/mol of atoms. The volume comes out at 21.6 Å³ per atom.

a = 3.978 Å, b = 6.843 Å, c = 6.740 Å
α = 109.81°, β = 90.00°, γ = 90.00°
Positions (direct):
Li  0.500  0.500  0.000
U  0.000  0.000  0.000
Pa  0.500  0.000  0.500
Pa  0.000  0.500  0.500
P  0.500  0.251  0.246
P  0.500  0.749  0.754
P  0.000  0.249  0.749
P  0.000  0.751  0.251

=====

[3]
A plane-wave DFT calculation with PBE-GGA was carried out for a relaxed structure of LiZrPa2P4.

Summary:
Its space group is P2/m (10). The value obtained for the total magnetization is 0.000 μB per atom. The calculated formation energy comes out at -107.3 kJ/mol of atoms. The volume comes out at 20.4 Å³ per atom.

a = 3.935 Å, b = 6.869 Å, c = 6.456 Å
α = 110.53°, β = 90.00°, γ = 90.00°
Positions (direct):
Li  0.500  0.500  0.000
Zr  0.000  0.000  0.000
Pa  0.500  0.000  0.500
Pa  0.000  0.500  0.500
P  0.500  0.247  0.239
P  0.500  0.753  0.761
P  0.000  0.251  0.759
P  0.000  0.749  0.241

=====

[4]
A plane-wave DFT calculation with PBE-GGA was carried out for a relaxed structure of LiZr2PaP4.

Summary:
Its space group is P2/m (10). The value obtained for the total magnetization is 0.000 μB per atom. The calculated formation energy comes out at -112.0 kJ/mol of atoms. The volume comes out at 19.6 Å³ per atom.

a = 3.809 Å, b = 6.435 Å, c = 6.755 Å
α = 108.66°, β = 90.00°, γ = 90.00°
Positions (direct):
Li  0.500  0.500  0.000
Zr  0.500  0.000  0.500
Zr  0.000  0.500  0.500
Pa  0.000  0.000  0.000
P  0.500  0.259  0.259
P  0.500  0.741  0.741
P  0.000  0.249  0.743
P  0.000  0.751  0.257

=====

[5]
A plane-wave DFT calculation with PBE-GGA was carried out for a relaxed structure of LiPPb3.

Summary:
Its space group is Pm-3m (221). The value obtained for the total magnetization is 0.000 μB per atom. The offset from the most stable computed form comes out at 0.000 eV/atom. The calculated formation energy comes out at 31.8 kJ/mol of atoms. The volume comes out at 33.6 Å³ per atom.

a = 5.516 Å, b = 5.516 Å, c = 5.516 Å
α = 90.00°, β = 90.00°, γ = 90.00°
Positions (direct):
Pb  0.000  0.500  0.000
Pb  0.000  0.000  0.500
Pb  0.500  0.000  0.000
P  0.000  0.000  0.000
Li  0.500  0.500  0.500

=====

[6]
A plane-wave DFT calculation with PBE-GGA was carried out for a relaxed structure of Li4P2Pb.

Summary:
Its space group is P4_2/mnm (136). The value obtained for the total magnetization is 0.000 μB per atom. The calculated formation energy comes out at -44.2 kJ/mol of atoms. The volume comes out at 17.6 Å³ per atom.

a = 4.173 Å, b = 7.688 Å, c = 7.688 Å
α = 90.00°, β = 90.00°, γ = 90.00°
Positions (direct):
Li  0.000  0.094  0.328
Li  0.000  0.906  0.672
Li  0.500  0.172  0.594
Li  0.500  0.828  0.406
Li  0.500  0.406  0.828
Li  0.500  0.594  0.172
Li  0.000  0.328  0.094
Li  0.000  0.672  0.906
P  0.000  0.222  0.778
P  0.000  0.778  0.222
P  0.500  0.722  0.722
P  0.500  0.278  0.278
Pb  0.500  0.000  0.000
Pb  0.000  0.500  0.500

=====

[7]
A plane-wave DFT calculation with PBE-GGA was carried out for a relaxed structure of Li8P6Pb.

Summary:
Its space group is R-3 (148). The value obtained for the total magnetization is 0.000 μB per atom. The calculated formation energy comes out at -28.6 kJ/mol of atoms. The volume comes out at 17.8 Å³ per atom.

a = 6.484 Å, b = 6.484 Å, c = 6.484 Å
α = 83.31°, β = 83.31°, γ = 83.31°
Positions (direct):
Pb  0.000  0.000  0.000
P  0.464  0.718  0.215
P  0.215  0.464  0.718
P  0.718  0.215  0.464
P  0.536  0.282  0.785
P  0.785  0.536  0.282
P  0.282  0.785  0.536
Li  0.922  0.839  0.432
Li  0.432  0.922  0.839
Li  0.839  0.432  0.922
Li  0.078  0.161  0.568
Li  0.568  0.078  0.161
Li  0.161  0.568  0.078
Li  0.388  0.388  0.388
Li  0.612  0.612  0.612

=====

[8]
A plane-wave DFT calculation with PBE-GGA was carried out for a relaxed structure of Li2PPb2.

Summary:
Its space group is P4/mbm (127). The value obtained for the total magnetization is 0.000 μB per atom. The offset from the most stable computed form comes out at 0.000 eV/atom. The calculated formation energy comes out at -12.9 kJ/mol of atoms. The volume comes out at 21.4 Å³ per atom.

a = 6.707 Å, b = 6.707 Å, c = 4.765 Å
α = 90.00°, β = 90.00°, γ = 90.00°
Positions (direct):
Pb  0.171  0.671  0.500
Pb  0.671  0.829  0.500
Pb  0.829  0.329  0.500
Pb  0.329  0.171  0.500
P  0.000  0.000  0.000
P  0.500  0.500  0.000
Li  0.345  0.845  0.000
Li  0.845  0.655  0.000
Li  0.655  0.155  0.000
Li  0.155  0.345  0.000

=====

[9]
A plane-wave DFT calculation with PBE-GGA was carried out for a relaxed structure of Li3PPb.

Summary:
Its space group is Pm-3m (221). The value obtained for the total magnetization is 0.000 μB per atom. The offset from the most stable computed form comes out at 0.771 eV/atom. The calculated formation energy comes out at 50.2 kJ/mol of atoms. The volume comes out at 25.2 Å³ per atom.

a = 5.016 Å, b = 5.016 Å, c = 5.016 Å
α = 90.00°, β = 90.00°, γ = 90.00°
Positions (direct):
Pb  0.000  0.000  0.000
P  0.500  0.500  0.500
Li  0.000  0.500  0.000
Li  0.000  0.000  0.500
Li  0.500  0.000  0.000

=====

[10]
A plane-wave DFT calculation with PBE-GGA was carried out for a relaxed structure of Li2PPb2.

Summary:
Its space group is P4/mbm (127). The value obtained for the total magnetization is 0.000 μB per atom. The offset from the most stable computed form comes out at 0.171 eV/atom. The calculated formation energy comes out at 3.6 kJ/mol of atoms. The volume comes out at 24.1 Å³ per atom.

a = 7.464 Å, b = 7.464 Å, c = 4.320 Å
α = 90.00°, β = 90.00°, γ = 90.00°
Positions (direct):
Pb  0.348  0.848  0.000
Pb  0.848  0.652  0.000
Pb  0.652  0.152  0.000
Pb  0.152  0.348  0.000
P  0.000  0.000  0.000
P  0.500  0.500  0.000
Li  0.155  0.655  0.500
Li  0.655  0.845  0.500
Li  0.845  0.345  0.500
Li  0.345  0.155  0.500

=====

[11]
A plane-wave DFT calculation with PBE-GGA was carried out for a relaxed structure of LiPPb3.

Summary:
Its space group is Pm-3m (221). The value obtained for the total magnetization is 0.000 μB per atom. The offset from the most stable computed form comes out at 0.071 eV/atom. The calculated formation energy comes out at 38.7 kJ/mol of atoms. The volume comes out at 26.3 Å³ per atom.

a = 5.084 Å, b = 5.084 Å, c = 5.084 Å
α = 90.00°, β = 90.00°, γ = 90.00°
Positions (direct):
Pb  0.000  0.500  0.000
Pb  0.000  0.000  0.500
Pb  0.500  0.000  0.000
P  0.500  0.500  0.500
Li  0.000  0.000  0.000

=====

[12]
A plane-wave DFT calculation with PBE-GGA was carried out for a relaxed structure of Li2P2Pb3.

Summary:
Its space group is Pbam (55). The value obtained for the total magnetization is 0.000 μB per atom. The calculated formation energy comes out at -10.3 kJ/mol of atoms. The volume comes out at 23.2 Å³ per atom.

a = 5.651 Å, b = 5.776 Å, c = 9.965 Å
α = 90.00°, β = 90.00°, γ = 90.00°
Positions (direct):
Pb  0.000  0.511  0.832
Pb  0.000  0.489  0.168
Pb  0.000  0.989  0.332
Pb  0.000  0.011  0.668
Pb  0.000  0.000  0.000
Pb  0.000  0.500  0.500
P  0.500  0.125  0.584
P  0.500  0.875  0.416
P  0.500  0.375  0.084
P  0.500  0.625  0.916
Li  0.500  0.124  0.862
Li  0.500  0.876  0.138
Li  0.500  0.376  0.362
Li  0.500  0.624  0.638